Below is crystalline Cr2ReRu at its relaxed geometry, with properties calculated at the PBE-GGA level.

Lattice parameters (Å, degrees): 4.0134 2.6580 5.1298 74.86 90.00 90.00
Last column: nearest neighbours and their distance in Å.
Fractional coordinates of all 4 atoms:
Cr  0.5000  0.1838  0.2320  2 Cr 2.36, 1 Ru 2.53, 2 Re 2.61
Cr  0.0000  0.0630  0.0146  2 Cr 2.36, 2 Re 2.55-2.62, 2 Ru 2.58
Ru  0.5000  0.7979  0.7626  4 Cr 2.53-2.65, 2 Ru 2.66, 4 Re 2.73-2.78
Re  0.0000  0.4553  0.4908  4 Cr 2.55-2.62, 2 Re 2.66, 4 Ru 2.73-2.78

## Properties
Total energy ... -10.1221 eV/atom
Energy of formation from the pure elements ... 0.121 eV per atom
Crystal system ... monoclinic
DOS at the Fermi energy ... 5.07 states/eV/cell
SG ... Pm, No. 6

Below is crystalline ZnIrOs2 at its relaxed geometry, with properties calculated at the PBE-GGA level.

Lattice parameters (Å, degrees): 4.7458 4.7458 4.6614 81.10 81.10 33.62
Last column: nearest neighbours and their distance in Å.
Fractional coordinates of all 4 atoms:
Os  0.5075  0.5075  0.5007  3 Zn 2.65-2.80, 6 Os 2.68-2.74, 3 Ir 2.70-2.78
Os  0.9925  0.9925  0.9993  3 Zn 2.65-2.80, 6 Os 2.68-2.74, 3 Ir 2.70-2.78
Zn  0.7500  0.7500  0.7500  6 Os 2.65-2.80, 4 Ir 2.70, 2 Zn 2.74
Ir  0.2500  0.2500  0.2500  6 Os 2.70-2.78, 4 Zn 2.70, 2 Ir 2.74

## Properties
Total energy ... -8.0013 eV/atom
Energy of formation from the pure elements ... 0.147 eV per atom
Crystal system ... monoclinic
DOS at the Fermi energy ... 3.12 states/eV/cell
SG ... C2/m, No. 12